5
Lattice="5.463 0.000 0.000 0.000 5.463 0.000 0.000 0.000 4.594" Properties=species:S:1:pos:R:3 comment="La2AlCdNi (PBE-GGA, relaxed)" dft_energy_ev_per_atom=-4.3633 e_form_ev_per_atom=-0.3045 pbc="T T T"
La 0.000 2.732 0.000
La 2.732 0.000 0.000
Al 0.000 0.000 2.297
Cd 2.732 2.732 2.297
Ni 0.000 0.000 0.000


5
Lattice="4.848 0.000 0.000 0.000 4.848 0.000 0.000 0.000 4.731" Properties=species:S:1:pos:R:3 comment="LaAlCdNi2 (PBE-GGA, relaxed)" dft_energy_ev_per_atom=-3.8203 e_form_ev_per_atom=0.4092 pbc="T T T"
La 0.000 0.000 0.000
Al 2.424 2.424 0.000
Cd 2.424 2.424 2.365
Ni 0.000 2.424 2.365
Ni 2.424 0.000 2.365


5
Lattice="5.806 0.000 0.000 0.000 5.806 0.000 0.000 0.000 4.950" Properties=species:S:1:pos:R:3 comment="La2AlCdPb (PBE-GGA, relaxed)" dft_energy_ev_per_atom=-3.6891 e_form_ev_per_atom=-0.0449 pbc="T T T"
La 0.000 2.903 0.000
La 2.903 0.000 0.000
Al 0.000 0.000 0.000
Cd 0.000 0.000 2.475
Pb 2.903 2.903 2.475


10
Lattice="4.379 0.000 0.000 0.000 4.379 0.000 0.000 0.000 10.756" Properties=species:S:1:pos:R:3 comment="La2Al3CdPd4 (PBE-GGA, relaxed)" dft_energy_ev_per_atom=-5.0541 e_form_ev_per_atom=-0.7772 pbc="T T T"
La 0.000 2.189 2.624
La 2.189 0.000 8.132
Al 0.000 2.189 9.500
Al 2.189 0.000 1.256
Al 2.189 2.189 5.378
Cd 0.000 0.000 5.378
Pd 0.000 0.000 0.000
Pd 0.000 2.189 6.989
Pd 2.189 0.000 3.767
Pd 2.189 2.189 0.000


20
Lattice="10.654 0.000 0.000 0.000 10.654 0.000 0.000 0.000 3.461" Properties=species:S:1:pos:R:3 comment="La2Al2CdPd5 (PBE-GGA, relaxed)" dft_energy_ev_per_atom=-5.1104 e_form_ev_per_atom=-0.6884 pbc="T T T"
La 1.895 3.432 0.000
La 3.432 8.759 0.000
La 7.221 1.895 0.000
La 8.759 7.221 0.000
Al 1.295 6.622 0.000
Al 4.031 1.295 0.000
Al 6.622 9.358 0.000
Al 9.358 4.031 0.000
Cd 0.000 0.000 0.000
Cd 5.327 5.327 0.000
Pd 0.000 5.327 1.730
Pd 0.633 8.392 1.730
Pd 2.262 0.633 1.730
Pd 3.065 5.960 1.730
Pd 4.694 3.065 1.730
Pd 5.327 0.000 1.730
Pd 5.960 7.588 1.730
Pd 7.588 4.694 1.730
Pd 8.392 10.021 1.730
Pd 10.021 2.262 1.730


10
Lattice="4.989 -2.881 0.000 4.989 2.881 0.000 -3.334 0.000 8.163" Properties=species:S:1:pos:R:3 comment="La2AlCdPd6 (PBE-GGA, relaxed)" dft_energy_ev_per_atom=-5.2004 e_form_ev_per_atom=-0.6335 pbc="T T T"
La 1.664 0.000 1.165
La 4.980 0.000 6.998
Al 4.989 0.000 0.000
Cd -1.667 0.000 4.081
Pd 4.144 1.469 1.815
Pd 2.500 1.469 6.348
Pd -0.044 0.000 6.352
Pd 6.688 0.000 1.811
Pd 4.144 -1.469 1.815
Pd 2.500 -1.469 6.348


10
Lattice="4.387 0.000 0.000 0.000 4.387 0.000 0.000 0.000 10.758" Properties=species:S:1:pos:R:3 comment="La2Al4CdPd3 (PBE-GGA, relaxed)" dft_energy_ev_per_atom=-4.8568 e_form_ev_per_atom=-0.7249 pbc="T T T"
La 0.000 2.193 2.600
La 2.193 0.000 8.158
Al 0.000 0.000 0.000
Al 0.000 2.193 6.898
Al 2.193 0.000 3.860
Al 2.193 2.193 0.000
Cd 0.000 0.000 5.379
Pd 0.000 2.193 9.415
Pd 2.193 0.000 1.344
Pd 2.193 2.193 5.379


18
Lattice="7.689 0.000 0.000 0.000 7.689 0.000 0.000 0.000 10.014" Properties=species:S:1:pos:R:3 comment="La5PmAl2Cd (PBE-GGA, relaxed)" dft_energy_ev_per_atom=-4.3053 e_form_ev_per_atom=-0.1066 pbc="T T T"
La 0.000 0.000 0.000
La 1.473 2.372 2.425
La 1.473 2.372 7.589
La 2.372 6.216 2.425
La 2.372 6.216 7.589
La 3.844 3.844 0.000
La 5.317 1.473 2.425
La 5.317 1.473 7.589
La 6.216 5.317 2.425
La 6.216 5.317 7.589
Pm 0.000 0.000 5.007
Pm 3.844 3.844 5.007
Al 0.884 4.729 0.000
Al 2.960 0.884 0.000
Al 4.729 6.804 0.000
Al 6.804 2.960 0.000
Cd 0.000 3.844 5.007
Cd 3.844 0.000 5.007


4
Lattice="0.000 3.829 3.829 3.829 0.000 3.829 3.829 3.829 0.000" Properties=species:S:1:pos:R:3 comment="LaPmAlCd (PBE-GGA, relaxed)" relative_energy_mev_per_atom=24 dft_energy_ev_per_atom=-3.9141 e_form_ev_per_atom=-0.3302 pbc="T T T"
La 0.000 0.000 0.000
Pm 3.829 3.829 3.829
Al 1.915 1.915 1.915
Cd 5.744 5.744 5.744


4
Lattice="3.664 0.000 0.000 0.000 3.664 0.000 0.000 0.000 8.237" Properties=species:S:1:pos:R:3 comment="LaPmAlCd (PBE-GGA, relaxed)" relative_energy_mev_per_atom=0 dft_energy_ev_per_atom=-3.9380 e_form_ev_per_atom=-0.3540 pbc="T T T"
La 0.000 0.000 0.000
Pm 0.000 0.000 3.873
Al 1.832 1.832 1.997
Cd 1.832 1.832 5.944


18
Lattice="7.731 0.000 0.000 0.000 7.731 0.000 0.000 0.000 10.038" Properties=species:S:1:pos:R:3 comment="La5PmAlCd2 (PBE-GGA, relaxed)" dft_energy_ev_per_atom=-3.9229 e_form_ev_per_atom=-0.0384 pbc="T T T"
La 0.000 0.000 0.000
La 1.676 2.189 2.736
La 1.676 2.189 7.302
La 2.189 6.055 2.736
La 2.189 6.055 7.302
La 3.866 3.866 0.000
La 5.542 1.676 2.736
La 5.542 1.676 7.302
La 6.055 5.542 2.736
La 6.055 5.542 7.302
Pm 0.000 0.000 5.019
Pm 3.866 3.866 5.019
Al 0.000 3.866 5.019
Al 3.866 0.000 5.019
Cd 0.928 4.793 0.000
Cd 2.938 0.928 0.000
Cd 4.793 6.803 0.000
Cd 6.803 2.938 0.000


4
Lattice="0.000 3.855 3.855 3.855 0.000 3.855 3.855 3.855 0.000" Properties=species:S:1:pos:R:3 comment="LaPrAlCd (PBE-GGA, relaxed)" relative_energy_mev_per_atom=19 dft_energy_ev_per_atom=-3.9167 e_form_ev_per_atom=-0.3256 pbc="T T T"
La 0.000 0.000 0.000
Pr 3.855 3.855 3.855
Al 5.783 5.783 5.783
Cd 1.928 1.928 1.928


4
Lattice="3.705 0.000 0.000 0.000 3.705 0.000 0.000 0.000 8.235" Properties=species:S:1:pos:R:3 comment="LaPrAlCd (PBE-GGA, relaxed)" relative_energy_mev_per_atom=0 dft_energy_ev_per_atom=-3.9359 e_form_ev_per_atom=-0.3447 pbc="T T T"
La 0.000 0.000 0.000
Pr 0.000 0.000 3.877
Al 1.853 1.853 1.966
Cd 1.853 1.853 5.994


18
Lattice="8.504 0.000 0.000 0.000 8.504 0.000 0.000 0.000 8.281" Properties=species:S:1:pos:R:3 comment="La5PrAlCd2 (PBE-GGA, relaxed)" dft_energy_ev_per_atom=-3.8978 e_form_ev_per_atom=-0.0101 pbc="T T T"
La 0.000 0.000 0.000
La 1.860 2.392 2.379
La 1.860 2.392 5.902
La 2.392 6.644 2.379
La 2.392 6.644 5.902
La 4.252 4.252 0.000
La 6.112 1.860 2.379
La 6.112 1.860 5.902
La 6.644 6.112 2.379
La 6.644 6.112 5.902
Pr 0.000 0.000 4.140
Pr 4.252 4.252 4.140
Al 0.000 4.252 4.140
Al 4.252 0.000 4.140
Cd 0.940 5.192 0.000
Cd 3.312 0.940 0.000
Cd 5.192 7.564 0.000
Cd 7.564 3.312 0.000


10
Lattice="4.380 0.000 0.000 0.000 4.380 0.000 0.000 0.000 10.674" Properties=species:S:1:pos:R:3 comment="La2Al4CdPt3 (PBE-GGA, relaxed)" dft_energy_ev_per_atom=-5.3222 e_form_ev_per_atom=-0.9359 pbc="T T T"
La 0.000 2.190 2.577
La 2.190 0.000 8.097
Al 0.000 0.000 0.000
Al 0.000 2.190 6.827
Al 2.190 0.000 3.847
Al 2.190 2.190 0.000
Cd 0.000 0.000 5.337
Pt 0.000 2.190 9.325
Pt 2.190 0.000 1.349
Pt 2.190 2.190 5.337


12
Lattice="3.686 -6.151 0.000 3.686 6.151 0.000 0.000 0.000 5.810" Properties=species:S:1:pos:R:3 comment="LaAlCdPt3 (PBE-GGA, relaxed)" dft_energy_ev_per_atom=-5.2639 e_form_ev_per_atom=-0.6459 pbc="T T T"
La 3.686 3.697 4.358
La 3.686 -3.697 1.453
Al 3.686 4.748 1.453
Al 3.686 -4.748 4.358
Cd 3.686 0.478 4.358
Cd 3.686 -0.478 1.453
Pt 1.442 0.000 0.000
Pt 1.442 0.000 2.905
Pt 3.686 2.373 1.453
Pt 3.686 -2.373 4.358
Pt 5.929 0.000 0.000
Pt 5.929 0.000 2.905


4
Lattice="0.000 3.798 3.798 3.798 0.000 3.798 3.798 3.798 0.000" Properties=species:S:1:pos:R:3 comment="LaPuAlCd (PBE-GGA, relaxed)" dft_energy_ev_per_atom=-6.1124 e_form_ev_per_atom=-0.1332 pbc="T T T"
La 0.000 0.000 0.000
Pu 3.798 3.798 3.798
Al 5.696 5.696 5.696
Cd 1.899 1.899 1.899


5
Lattice="5.538 0.000 0.000 0.000 5.538 0.000 0.000 0.000 4.802" Properties=species:S:1:pos:R:3 comment="La2AlCdRh (PBE-GGA, relaxed)" dft_energy_ev_per_atom=-4.8241 e_form_ev_per_atom=-0.4513 pbc="T T T"
La 0.000 2.769 0.000
La 2.769 0.000 0.000
Al 0.000 0.000 2.401
Cd 2.769 2.769 2.401
Rh 0.000 0.000 0.000


20
Lattice="10.170 0.000 0.000 0.000 10.170 0.000 0.000 0.000 3.568" Properties=species:S:1:pos:R:3 comment="La2Al2CdRh5 (PBE-GGA, relaxed)" dft_energy_ev_per_atom=-6.1941 e_form_ev_per_atom=-0.6928 pbc="T T T"
La 1.817 3.267 0.000
La 3.267 8.352 0.000
La 6.902 1.817 0.000
La 8.352 6.902 0.000
Al 1.212 6.296 0.000
Al 3.873 1.212 0.000
Al 6.296 8.958 0.000
Al 8.958 3.873 0.000
Cd 0.000 0.000 0.000
Cd 5.085 5.085 0.000
Rh 0.000 5.085 1.784
Rh 0.690 7.981 1.784
Rh 2.189 0.690 1.784
Rh 2.896 5.775 1.784
Rh 4.395 2.896 1.784
Rh 5.085 0.000 1.784
Rh 5.775 7.274 1.784
Rh 7.274 4.395 1.784
Rh 7.981 9.480 1.784
Rh 9.480 2.189 1.784


5
Lattice="5.456 0.000 0.000 0.000 5.456 0.000 0.000 0.000 4.901" Properties=species:S:1:pos:R:3 comment="La2AlCdRu (PBE-GGA, relaxed)" dft_energy_ev_per_atom=-5.0627 e_form_ev_per_atom=-0.3051 pbc="T T T"
La 0.000 2.728 0.000
La 2.728 0.000 0.000
Al 0.000 0.000 2.450
Cd 2.728 2.728 2.450
Ru 0.000 0.000 0.000


24
Lattice="10.251 0.000 0.000 -5.126 8.878 0.000 0.000 0.000 6.223" Properties=species:S:1:pos:R:3 comment="La3AlCdS7 (PBE-GGA, relaxed)" dft_energy_ev_per_atom=-5.7327 formation_energy_uncorrected_ev_per_atom=-1.705 pbc="T T T"
La -2.472 6.775 0.000
La 0.494 3.349 0.000
La 3.148 1.247 3.112
La 1.978 7.631 0.000
La 4.631 5.528 3.112
La 7.598 2.103 3.112
Al 0.000 5.918 3.607
Al 5.126 2.959 0.495
Cd 0.000 0.000 1.351
Cd 0.000 0.000 4.462
S -3.346 7.507 2.799
S -1.613 4.620 4.537
S 0.297 2.226 2.799
S 2.077 0.855 5.910
S 0.000 5.918 1.357
S -0.318 7.964 4.537
S 1.931 5.171 4.537
S 3.194 3.706 1.425
S 5.444 0.913 1.425
S 5.126 2.959 4.468
S 3.049 8.022 2.799
S 4.828 6.652 5.910
S 6.738 4.258 1.425
S 8.472 1.371 5.910


5
Lattice="5.308 0.000 0.000 0.000 5.308 0.000 0.000 0.000 5.440" Properties=species:S:1:pos:R:3 comment="LaAl2CdSb (PBE-GGA, relaxed)" dft_energy_ev_per_atom=-3.0834 formation_energy_uncorrected_ev_per_atom=0.407 pbc="T T T"
La 0.000 0.000 0.000
Al 0.000 2.654 2.720
Al 2.654 0.000 2.720
Cd 2.654 2.654 0.000
Sb 2.654 2.654 2.720